[1]
First-principles (PBE) data for an optimized crystal structure of NdYO4, as listed in OQMD.

Structure (extended XYZ):
```
6
Lattice="-2.456 0.224 3.026 -1.864 -3.149 1.359 5.194 -0.783 3.427" Properties=species:S:1:pos:R:3 pbc="T T T"
O -1.088 -3.111 5.910
O 1.844 -0.594 1.857
O -0.715 -1.150 2.073
O 1.692 -2.572 5.806
Nd 2.654 -1.511 3.999
Y -1.767 -2.185 3.795
```

Output
Density ... 6.105 g/cm³
Space group ... Cm, No. 8


[2]
First-principles (PBE) data for an optimized crystal structure of NdZnO2, as listed in OQMD.

Structure (extended XYZ):
```
16
Lattice="-2.317 -5.590 -2.430 2.689 -0.333 -1.797 4.606 -5.335 7.881" Properties=species:S:1:pos:R:3 pbc="T T T"
O -0.089 -5.437 -0.595
O 3.656 -4.944 1.975
O 1.402 -3.028 1.189
O 1.323 -6.314 1.679
O 5.067 -5.820 4.249
O 4.563 -10.130 4.293
O 3.576 -8.230 2.465
O 0.416 -1.127 -0.640
Nd 2.260 -9.931 3.752
Nd 2.666 -6.266 3.680
Nd 2.312 -4.992 -0.027
Nd 2.719 -1.326 -0.099
Zn 2.484 -7.942 0.777
Zn 5.612 -7.428 5.362
Zn -0.634 -3.829 -1.709
Zn 2.495 -3.316 2.876
```

Output
Density ... 7.160 g/cm³
Space group ... Pnma, No. 62


[3]
First-principles (PBE) data for an optimized crystal structure of NdOs, as listed in OQMD.

Structure (extended XYZ):
```
2
Lattice="0.000 2.927 2.927 2.927 0.000 2.927 2.927 2.927 0.000" Properties=species:S:1:pos:R:3 pbc="T T T"
Nd 0.000 0.000 0.000
Os 2.927 2.927 2.927
```

Output
Density ... 11.071 g/cm³
Space group ... Fm-3m, No. 225
Energy of formation from the pure elements ... 0.87 eV/atom


[4]
First-principles (PBE) data for an optimized crystal structure of Nd2Os, as listed in OQMD.

Structure (extended XYZ):
```
6
Lattice="-3.118 -0.993 7.896 4.773 2.094 6.775 -2.015 6.854 4.693" Properties=species:S:1:pos:R:3 pbc="T T T"
Nd -1.559 -0.497 3.948
Nd 2.386 1.047 3.387
Nd 0.000 0.000 0.000
Nd -1.007 3.427 2.346
Os -0.315 6.960 16.943
Os -0.045 0.994 2.420
```

Output
Density ... 3.600 g/cm³
Space group ... Fd-3m, No. 227
Energy of formation from the pure elements ... 1.18 eV/atom


[5]
First-principles (PBE) data for an optimized crystal structure of Nd5Os2, as listed in OQMD.

Structure (extended XYZ):
```
14
Lattice="-0.412 8.796 -0.547 -1.083 5.890 -6.478 -7.235 -1.095 1.354" Properties=species:S:1:pos:R:3 pbc="T T T"
Nd -4.588 6.484 0.228
Nd -4.142 7.107 -5.900
Nd -1.709 4.173 -1.292
Nd -2.507 7.281 -2.742
Nd -7.239 8.817 -0.615
Nd -1.491 4.774 -5.056
Nd -5.428 3.188 -1.507
Nd -7.021 9.418 -4.379
Nd -6.223 6.310 -2.930
Nd -3.303 10.403 -4.164
Os -3.804 4.635 -3.429
Os -4.926 8.955 -2.242
Os -7.135 5.330 -0.216
Os -1.595 8.260 -5.455
```

Output
Density ... 9.128 g/cm³
Space group ... C2/c, No. 15
Energy of formation from the pure elements ... -0.12 eV/atom


[6]
First-principles (PBE) data for an optimized crystal structure of NdOs2, as listed in OQMD.

Structure (extended XYZ):
```
3
Lattice="3.312 -2.566 1.725 -0.398 -1.705 4.179 -0.648 -4.447 0.580" Properties=species:S:1:pos:R:3 pbc="T T T"
Os 1.700 -6.538 4.863
Os 0.567 -2.179 1.621
Nd 0.000 0.000 0.000
```

Output
Density ... 13.247 g/cm³
Space group ... Fm-3m, No. 225
Energy of formation from the pure elements ... 1.82 eV/atom


[7]
First-principles (PBE) data for an optimized crystal structure of NdOs, as listed in OQMD.

Structure (extended XYZ):
```
2
Lattice="-0.664 1.001 3.111 1.147 -3.082 -0.551 4.255 1.507 0.423" Properties=species:S:1:pos:R:3 pbc="T T T"
Nd 3.131 0.770 2.208
Os 1.607 -1.344 0.776
```

Output
Density ... 12.721 g/cm³
Space group ... P-6m2, No. 187
Energy of formation from the pure elements ... 0.69 eV/atom


[8]
First-principles (PBE) data for an optimized crystal structure of Nd2Os, as listed in OQMD.

Structure (extended XYZ):
```
3
Lattice="4.294 -0.172 2.392 0.165 0.925 4.828 0.903 -3.647 3.173" Properties=species:S:1:pos:R:3 pbc="T T T"
Os 0.000 0.000 0.000
Nd 1.340 -0.724 2.598
Nd 4.021 -2.171 7.794
```

Output
Density ... 9.450 g/cm³
Space group ... Fm-3m, No. 225
Energy of formation from the pure elements ... -0.06 eV/atom


[9]
First-principles (PBE) data for an optimized crystal structure of Nd2Os, as listed in OQMD.

Structure (extended XYZ):
```
6
Lattice="4.281 -2.199 -3.503 2.615 -5.166 1.381 -1.049 -4.842 -3.299" Properties=species:S:1:pos:R:3 pbc="T T T"
Os 0.000 0.000 0.000
Os 1.462 -3.052 -1.355
Nd 2.347 -5.047 -4.079
Nd 1.514 -6.530 -1.637
Nd 3.654 -7.630 -3.388
Nd 4.179 -5.209 -1.738
```

Output
Density ... 10.660 g/cm³
Space group ... Fd-3m, No. 227
Energy of formation from the pure elements ... 1.31 eV/atom


[10]
First-principles (PBE) data for an optimized crystal structure of Nd3Os, as listed in OQMD.

Structure (extended XYZ):
```
16
Lattice="-0.645 -2.502 -7.041 6.114 -7.181 1.991 -5.006 -3.764 1.796" Properties=species:S:1:pos:R:3 pbc="T T T"
Os 2.263 -7.365 1.489
Os -1.799 -6.082 -4.743
Os -3.471 -6.331 -0.507
Os 3.935 -7.116 -2.747
Nd -0.344 -11.026 -3.711
Nd -0.808 -6.073 0.837
Nd 4.655 -8.159 -0.128
Nd 3.523 -10.018 -3.357
Nd 1.271 -7.374 -4.091
Nd -0.628 -4.509 -2.664
Nd 0.807 -2.421 0.458
Nd -3.059 -3.429 0.104
Nd 2.404 -5.515 -0.861
Nd 1.092 -8.938 -0.590
Nd -4.192 -5.288 -3.126
Nd -1.940 -7.932 -2.392
```

Output
Density ... 8.784 g/cm³
Space group ... Pnma, No. 62
Energy of formation from the pure elements ... -0.11 eV/atom


[11]
First-principles (PBE) data for an optimized crystal structure of NdOs, as listed in OQMD.

Structure (extended XYZ):
```
2
Lattice="0.000 3.190 3.190 3.190 0.000 3.190 3.190 3.190 0.000" Properties=species:S:1:pos:R:3 pbc="T T T"
Os 1.595 1.595 1.595
Nd 0.000 0.000 0.000
```

Output
Density ... 8.553 g/cm³
Space group ... F-43m, No. 216
Energy of formation from the pure elements ... 1.58 eV/atom


[12]
First-principles (PBE) data for an optimized crystal structure of NdP12Os4, as listed in OQMD.

Structure (extended XYZ):
```
17
Lattice="2.726 -3.333 5.555 -6.742 -1.836 -0.758 3.576 -1.776 -5.784" Properties=species:S:1:pos:R:3 pbc="T T T"
Os -0.220 -3.472 -0.493
Os 1.788 -0.888 -2.892
Os 1.363 -1.667 2.778
Os -3.371 -0.918 -0.379
P 1.266 -4.914 0.660
P -2.236 -4.603 0.033
P -0.530 -2.578 1.680
P 2.172 -3.881 2.532
P 1.238 -2.888 -4.039
P -1.706 -2.031 -1.647
P -1.679 -4.057 3.052
P 3.598 -3.803 -1.086
P 1.795 -2.342 -1.020
P -4.038 -3.142 0.099
P -2.612 -3.064 -3.519
P 0.090 -4.367 -2.667
Nd 0.000 0.000 0.000
```

Output
Density ... 7.933 g/cm³
Space group ... Im-3, No. 204


Quick rundown of total magnetic moment, same order as above: 0.0; 0.0; 1.0; 0.2; 0.0; 1.4; 0.0; 0.0; 0.4; 0.0; 1.0; 0.0 μB/f.u.
Quick rundown of total energy, same order as above: -8.044; -6.210; -7.121; -5.742; -6.726; -7.247; -7.300; -6.974; -5.603; -6.486; -6.414; -7.332 eV/atom